Record 1
Entry from the Open Quantum Materials Database: an optimized crystal structure of NbTcAu (PBE).

a b c (Å): 4.359 4.359 4.359
angles (deg): 60.00 60.00 60.00
Element x y z (fractional)
Au (0.500, 0.500, 0.500)
Nb (0.250, 0.250, 0.250)
Tc (0.000, 0.000, 0.000)

Calculated values
The calculation puts the energy of formation at 0.602 eV per atom. As for the space group: F-43m (216). The calculation puts the relative energy among the computed polymorphs at 0.000 eV per atom.



Record 2
Entry from the Open Quantum Materials Database: an optimized crystal structure of Nb2TcAu (PBE).

a b c (Å): 4.578 4.578 4.578
angles (deg): 60.00 60.00 60.00
Element x y z (fractional)
Au (0.750, 0.750, 0.750)
Nb (0.250, 0.250, 0.250)
Nb (0.500, 0.500, 0.500)
Tc (0.000, 0.000, 0.000)

Calculated values
The calculation puts the energy of formation at 0.121 eV per atom. As for the space group: F-43m (216).



Record 3
Entry from the Open Quantum Materials Database: an optimized crystal structure of NbTe2Au (PBE).

a b c (Å): 5.032 5.032 5.032
angles (deg): 60.00 60.00 60.00
Site moments in Bohr magnetons follow the coordinates.
Element x y z (fractional)
Au (0.250, 0.250, 0.250)  0.01
Nb (0.500, 0.500, 0.500)  0.84
Te (0.000, 0.000, 0.000)  -0.03
Te (0.750, 0.750, 0.750)  -0.05

Calculated values
As for the space group: F-43m (216). Its final energy is -17.800 eV per cell.



Record 4
Entry from the Open Quantum Materials Database: an optimized crystal structure of Nb3TeAu (PBE).

a b c (Å): 8.404 8.404 8.404
angles (deg): 156.02 156.02 34.16
Element x y z (fractional)
Au (0.811, 0.811, 0.000)
Nb (0.409, 0.409, 0.000)
Nb (0.594, 0.594, 0.000)
Nb (0.997, 0.997, 0.000)
Te (0.189, 0.189, 0.000)

Calculated values
As for the space group: I4mm (107). Its final energy is -37.144 eV per cell.



Record 5
Entry from the Open Quantum Materials Database: an optimized crystal structure of NbTlTe3Au (PBE).

a b c (Å): 3.826 10.635 8.335
angles (deg): 90.00 103.27 90.00
Site moments in Bohr magnetons follow the coordinates.
Element x y z (fractional)
Au (0.543, 0.500, 0.087)  0.01
Au (0.457, 0.000, 0.913)  0.01
Nb (0.000, 0.250, 0.000)  0.53
Nb (0.000, 0.750, 0.000)  0.51
Te (0.081, 0.000, 0.163)  -0.02
Te (0.630, 0.283, 0.260)  -0.01
Te (0.630, 0.717, 0.260)  0.00
Te (0.370, 0.217, 0.740)  0.00
Te (0.370, 0.783, 0.740)  0.00
Te (0.919, 0.500, 0.837)  -0.02
Tl (0.233, 0.500, 0.467)  0.02
Tl (0.767, 0.000, 0.533)  0.02

Calculated values
As for the space group: Cmcm (63). Its final energy is -52.542 eV per cell.



Record 6
Entry from the Open Quantum Materials Database: an optimized crystal structure of ThNbAu (PBE).

a b c (Å): 4.711 4.711 4.711
angles (deg): 60.00 60.00 60.00
Element x y z (fractional)
Au (0.250, 0.250, 0.250)
Nb (0.000, 0.000, 0.000)
Th (0.750, 0.750, 0.750)

Calculated values
The calculation puts the energy of formation at 0.478 eV per atom. As for the space group: F-43m (216).



Record 7
Entry from the Open Quantum Materials Database: an optimized crystal structure of NbTlAu2 (PBE).

a b c (Å): 4.779 4.779 4.779
angles (deg): 60.00 60.00 60.00
Element x y z (fractional)
Au (0.000, 0.000, 0.000)
Au (0.750, 0.750, 0.750)
Nb (0.250, 0.250, 0.250)
Tl (0.500, 0.500, 0.500)

Calculated values
As for the space group: F-43m (216). Its final energy is -17.792 eV per cell.



Record 8
Entry from the Open Quantum Materials Database: an optimized crystal structure of NbTl2Au (PBE).

a b c (Å): 4.983 4.983 4.983
angles (deg): 60.00 60.00 60.00
Site moments in Bohr magnetons follow the coordinates.
Element x y z (fractional)
Au (0.750, 0.750, 0.750)  0.03
Nb (0.000, 0.000, 0.000)  1.63
Tl (0.250, 0.250, 0.250)  0.03
Tl (0.500, 0.500, 0.500)  0.00

Calculated values
As for the space group: F-43m (216). Its final energy is -15.841 eV per cell.



Record 9
Entry from the Open Quantum Materials Database: an optimized crystal structure of NbTlAu (PBE).

a b c (Å): 4.588 4.588 4.588
angles (deg): 60.00 60.00 60.00
Element x y z (fractional)
Au (0.250, 0.250, 0.250)
Nb (0.750, 0.750, 0.750)
Tl (0.000, 0.000, 0.000)

Calculated values
As for the space group: F-43m (216). Its final energy is -13.413 eV per cell.



Record 10
Entry from the Open Quantum Materials Database: an optimized crystal structure of Nb2TlAu (PBE).

a b c (Å): 4.785 4.785 4.785
angles (deg): 60.00 60.00 60.00
Element x y z (fractional)
Au (0.250, 0.250, 0.250)
Nb (0.000, 0.000, 0.000)
Nb (0.750, 0.750, 0.750)
Tl (0.500, 0.500, 0.500)

Calculated values
As for the space group: F-43m (216). Its final energy is -23.896 eV per cell.



Record 11
Entry from the Open Quantum Materials Database: an optimized crystal structure of TmNbAu (PBE).

a b c (Å): 4.634 4.634 4.634
angles (deg): 60.00 60.00 60.00
Site moments in Bohr magnetons follow the coordinates.
Element x y z (fractional)
Au (0.000, 0.000, 0.000)  0.04
Nb (0.750, 0.750, 0.750)  0.76
Tm (0.500, 0.500, 0.500)  0.33

Calculated values
The calculation puts the energy of formation at 0.573 eV per atom. As for the space group: F-43m (216). The calculation puts the relative energy among the computed polymorphs at 0.000 eV per atom.



Record 12
Entry from the Open Quantum Materials Database: an optimized crystal structure of TmNbAu (PBE).

a b c (Å): 4.697 4.697 4.697
angles (deg): 60.00 60.00 60.00
Element x y z (fractional)
Au (0.250, 0.250, 0.250)
Nb (0.750, 0.750, 0.750)
Tm (0.000, 0.000, 0.000)

Calculated values
The calculation puts the energy of formation at 0.737 eV per atom. As for the space group: F-43m (216). The calculation puts the relative energy among the computed polymorphs at 0.164 eV per atom.



| no. | M_tot (μB per atom) |
| --- | --- |
| 1 | 0.00 |
| 2 | 0.00 |
| 3 | 0.23 |
| 4 | 0.00 |
| 5 | 0.11 |
| 6 | 0.00 |
| 7 | 0.10 |
| 8 | 0.50 |
| 9 | 0.33 |
| 10 | 0.00 |
| 11 | 0.36 |
| 12 | 0.89 |